[1]
# KUInTe3 (PBE-GGA, optimized geometry)
# DFT total energy (eV/cell): -56.1
data_KUInTe3
_space_group_name_H-M_alt 'P 1 21/m 1'
_space_group_IT_number 11
_space_group_name_Hall '-P 2yb'
_cell_length_a 9.3394
_cell_length_b 4.4252
_cell_length_c 11.5350
_cell_angle_alpha 90.00
_cell_angle_beta 111.45
_cell_angle_gamma 90.00
loop_
_atom_site_label
_atom_site_type_symbol
_atom_site_fract_x
_atom_site_fract_y
_atom_site_fract_z
K1 K 0.0064 0.2500 0.2549
U1 U 0.4324 0.7500 0.6452
In1 In 0.4887 0.2500 0.8690
Te1 Te 0.1858 0.2500 0.6009
Te2 Te 0.2897 0.2500 0.0227
Te3 Te 0.3334 0.7500 0.3598

=====

[2]
# SrNi2Hg (PBE-GGA, optimized geometry)
# DFT total energy (eV/cell): -26.2
# ΔE_f (eV/atom): 0.12
data_SrNi2Hg
_space_group_name_H-M_alt 'I m m 2'
_space_group_IT_number 44
_space_group_name_Hall 'I 2 -2'
_cell_length_a 3.8109
_cell_length_b 4.1212
_cell_length_c 11.2691
_cell_angle_alpha 90.00
_cell_angle_beta 90.00
_cell_angle_gamma 90.00
loop_
_atom_site_label
_atom_site_type_symbol
_atom_site_fract_x
_atom_site_fract_y
_atom_site_fract_z
Sr1 Sr 0.0000 0.0000 0.0000
Ni1 Ni 0.0000 0.0000 0.3849
Ni2 Ni 0.0000 0.5000 0.7695
Hg1 Hg 0.0000 0.5000 0.2385

=====

[3]
# DyHo2Tl (PBE-GGA, optimized geometry)
# Offset from the most stable computed form (meV/atom): 75
# DFT total energy (eV/cell): -49.7
# ΔE_f (eV/atom): -0.11
data_DyHo2Tl
_space_group_name_H-M_alt 'R -3 m'
_space_group_IT_number 166
_space_group_name_Hall '-R 3 2"'
_cell_length_a 3.5449
_cell_length_b 3.5449
_cell_length_c 33.0153
_cell_angle_alpha 90.00
_cell_angle_beta 90.00
_cell_angle_gamma 120.00
loop_
_atom_site_label
_atom_site_type_symbol
_atom_site_fract_x
_atom_site_fract_y
_atom_site_fract_z
Dy1 Dy 0.0000 0.0000 0.0000
Ho1 Ho 0.0000 0.0000 0.2467
Tl1 Tl 0.0000 0.0000 0.5000

=====

[4]
# BeIn2Cl (PBE-GGA, optimized geometry)
# Offset from the most stable computed form (meV/atom): 434
# DFT total energy (eV/cell): -39.2
data_BeIn2Cl
_space_group_name_H-M_alt 'F m -3 m'
_space_group_IT_number 225
_space_group_name_Hall '-F 4 2 3'
_cell_length_a 7.1861
_cell_length_b 7.1861
_cell_length_c 7.1861
_cell_angle_alpha 90.00
_cell_angle_beta 90.00
_cell_angle_gamma 90.00
loop_
_atom_site_label
_atom_site_type_symbol
_atom_site_fract_x
_atom_site_fract_y
_atom_site_fract_z
Be1 Be 0.0000 0.0000 0.0000
In1 In 0.2500 0.2500 0.2500
Cl1 Cl 0.0000 0.0000 0.5000

=====

[5]
# TaMnAl2H (PBE-GGA, optimized geometry)
# DFT total energy (eV/cell): -32.2
data_TaMnAl2H
_space_group_name_H-M_alt 'P 4/m m m'
_space_group_IT_number 123
_space_group_name_Hall '-P 4 2'
_cell_length_a 4.0589
_cell_length_b 4.0589
_cell_length_c 3.7956
_cell_angle_alpha 90.00
_cell_angle_beta 90.00
_cell_angle_gamma 90.00
loop_
_atom_site_label
_atom_site_type_symbol
_atom_site_fract_x
_atom_site_fract_y
_atom_site_fract_z
Ta1 Ta 0.0000 0.0000 0.0000
Mn1 Mn 0.5000 0.5000 0.0000
Al1 Al 0.0000 0.5000 0.5000
H1 H 0.5000 0.5000 0.5000

=====

[6]
# KTl2Si2 (PBE-GGA, optimized geometry)
# Offset from the most stable computed form (meV/atom): 159
# DFT total energy (eV/cell): -30.2
data_KTl2Si2
_space_group_name_H-M_alt 'P 4/m b m'
_space_group_IT_number 127
_space_group_name_Hall '-P 4 2ab'
_cell_length_a 8.2450
_cell_length_b 8.2450
_cell_length_c 4.1329
_cell_angle_alpha 90.00
_cell_angle_beta 90.00
_cell_angle_gamma 90.00
loop_
_atom_site_label
_atom_site_type_symbol
_atom_site_fract_x
_atom_site_fract_y
_atom_site_fract_z
K1 K 0.0000 0.0000 0.0000
Tl1 Tl 0.1698 0.3302 0.5000
Si1 Si 0.1003 0.6003 0.0000

=====

[7]
# CaHgIO2 (PBE-GGA, optimized geometry)
# Offset from the most stable computed form (meV/atom): 133
# DFT total energy (eV/cell): -15.6
data_CaHgIO2
_space_group_name_H-M_alt 'P 4/m m m'
_space_group_IT_number 123
_space_group_name_Hall '-P 4 2'
_cell_length_a 4.4096
_cell_length_b 4.4096
_cell_length_c 5.8282
_cell_angle_alpha 90.00
_cell_angle_beta 90.00
_cell_angle_gamma 90.00
loop_
_atom_site_label
_atom_site_type_symbol
_atom_site_fract_x
_atom_site_fract_y
_atom_site_fract_z
Ca1 Ca 0.0000 0.0000 0.0000
Hg1 Hg 0.5000 0.5000 0.5000
I1 I 0.5000 0.5000 0.0000
O1 O 0.0000 0.5000 0.5000

=====

[8]
# CaTmMg2Pd4 (PBE-GGA, optimized geometry)
# DFT total energy (eV/cell): -109.3
# ΔE_f (eV/atom): -0.75
data_CaTmMg2Pd4
_space_group_name_H-M_alt 'R -3 m'
_space_group_IT_number 166
_space_group_name_Hall '-R 3 2"'
_cell_length_a 4.7678
_cell_length_b 4.7678
_cell_length_c 23.1012
_cell_angle_alpha 90.00
_cell_angle_beta 90.00
_cell_angle_gamma 120.00
loop_
_atom_site_label
_atom_site_type_symbol
_atom_site_fract_x
_atom_site_fract_y
_atom_site_fract_z
Ca1 Ca 0.0000 0.0000 0.0000
Tm1 Tm 0.0000 0.0000 0.5000
Mg1 Mg 0.0000 0.0000 0.2508
Pd1 Pd 0.0000 0.0000 0.1285
Pd2 Pd 0.0000 0.0000 0.3777